Here is a relaxed structure of Tm2AlZn3Cu12 from Alexandria via LeMat-Bulk. Energies are from PBE.

Summary:
- total moment (μB/atom) = 0.000
- symmetry = No. 166
- D(E_F) (states/eV/cell) = 7.36
- calculated formation energy (kcal/mol of atoms) = -0.06
- VASP energy (eV per atom) = -3.65

Cell: 6.474 6.474 6.474 Å, 84.32 84.32 84.32°
Element x y z (fractional)
Cu1 0.135 0.584 0.584
Cu2 0.803 0.803 0.277
Cu3 0.197 0.723 0.197
Cu4 0.865 0.416 0.416
Cu5 0.277 0.803 0.803
Cu6 0.416 0.865 0.416
Cu7 0.584 0.135 0.584
Cu8 0.723 0.197 0.197
Cu9 0.584 0.584 0.135
Cu10 0.416 0.416 0.865
Cu11 0.197 0.197 0.723
Cu12 0.803 0.277 0.803
Tm1 0.294 0.294 0.294
Tm2 0.706 0.706 0.706
Zn1 0.000 0.500 0.000
Zn2 0.500 0.000 0.000
Zn3 0.000 0.000 0.500
Al1 0.000 0.000 0.000